1.
{"formula": "Ce4PdPt12", "functional": "PBE-GGA", "state": "optimized geometry", "lattice_angstrom": [[-4.307, 4.307, 4.307], [4.307, -4.307, 4.307], [4.307, 4.307, -4.307]], "species": ["Ce", "Ce", "Ce", "Ce", "Pd", "Pt", "Pt", "Pt", "Pt", "Pt", "Pt", "Pt", "Pt", "Pt", "Pt", "Pt", "Pt"], "frac_coords": [[0.000, 0.000, 0.500], [0.000, 0.500, 0.000], [0.500, 0.000, 0.000], [0.500, 0.500, 0.500], [0.000, 0.000, 0.000], [0.000, 0.299, 0.299], [0.000, 0.701, 0.701], [0.250, 0.500, 0.750], [0.250, 0.750, 0.500], [0.299, 0.000, 0.299], [0.299, 0.299, 0.000], [0.500, 0.250, 0.750], [0.500, 0.750, 0.250], [0.701, 0.000, 0.701], [0.701, 0.701, 0.000], [0.750, 0.250, 0.500], [0.750, 0.500, 0.250]], "crystal_system": "cubic", "rho_kg_m3": 15629, "formation_enthalpy_0k_ev_per_atom": -0.844, "space_group": "No. 229", "magnetic_moment_mub_per_fu": 1.610}

2.
{"formula": "ZrBe2TcP", "functional": "PBE-GGA", "state": "optimized geometry", "lattice_angstrom": [[4.608, 0.000, 0.000], [0.000, 4.608, 0.000], [0.000, 0.000, 4.826]], "species": ["Zr", "Be", "Be", "Tc", "P"], "frac_coords": [[0.000, 0.000, 0.000], [0.000, 0.500, 0.000], [0.500, 0.000, 0.000], [0.000, 0.000, 0.500], [0.500, 0.500, 0.500]], "crystal_system": "tetragonal", "rho_kg_m3": 3859, "formation_enthalpy_0k_ev_per_atom": 1.922, "space_group": "No. 123", "magnetic_moment_mub_per_fu": 1.910}